1.
An optimized crystal structure of PaGa4Rh2. Source: Alexandria via LeMat-Bulk, functional PBE.

Unit cell a=17.2305 b=4.2634 c=6.5778 alpha=90.00 beta=90.00 gamma=90.00
Space group Pnma (No. 62)
One atom of each set of equivalent atoms:
Pa (0.1385, 0.2500, 0.0294) [4 per cell]
Ga (0.0365, 0.7500, 0.8372) [4 per cell]
Ga (0.0731, 0.2500, 0.5021) [4 per cell]
Ga (0.1838, 0.7500, 0.3406) [4 per cell]
Ga (0.1900, 0.7500, 0.7388) [4 per cell]
Rh (0.0393, 0.7500, 0.2425) [4 per cell]
Rh (0.2202, 0.2500, 0.5439) [4 per cell]

Properties
As for the formation energy: -0.61 eV/atom. Its crystal system is orthorhombic.

---

2.
An optimized crystal structure of PaGa2Rh. Source: Alexandria via LeMat-Bulk, functional PBE.

Unit cell a=3.1385 b=3.1385 c=7.1608 alpha=90.00 beta=90.00 gamma=90.00
Space group P4/mmm (No. 123)
One atom of each set of equivalent atoms:
Pa (0.0000, 0.0000, 0.0000) [1 per cell]
Ga (0.5000, 0.5000, 0.2999) [2 per cell]
Rh (0.0000, 0.0000, 0.5000) [1 per cell]

Properties
As for the formation energy: -0.46 eV/atom. Its crystal system is tetragonal.

---

3.
An optimized crystal structure of Pa2Ga9Rh. Source: Alexandria via LeMat-Bulk, functional PBE.

Unit cell a=4.3275 b=4.3275 c=11.7471 alpha=90.00 beta=90.00 gamma=90.00
Space group P4/mmm (No. 123)
One atom of each set of equivalent atoms:
Pa (0.0000, 0.0000, 0.1819) [2 per cell]
Ga (0.0000, 0.5000, 0.0000) [2 per cell]
Ga (0.0000, 0.5000, 0.3614) [4 per cell]
Ga (0.5000, 0.5000, 0.1748) [2 per cell]
Ga (0.5000, 0.5000, 0.5000) [1 per cell]
Rh (0.0000, 0.0000, 0.5000) [1 per cell]

Properties
As for the formation energy: -0.35 eV/atom. Its crystal system is tetragonal.

---

4.
An optimized crystal structure of Pa2GaRh3. Source: Alexandria via LeMat-Bulk, functional PBE.

Unit cell a=5.5559 b=5.5559 c=8.0065 alpha=90.00 beta=90.00 gamma=120.00
Space group P6_3/mmc (No. 194)
One atom of each set of equivalent atoms:
Pa (0.3333, 0.6667, 0.0662) [4 per cell]
Ga (0.0000, 0.0000, 0.0000) [2 per cell]
Rh (0.1694, 0.3389, 0.7500) [6 per cell]

Properties
As for the formation energy: -0.81 eV/atom. Its crystal system is hexagonal.

---

5.
An optimized crystal structure of PaGaRh3. Source: Alexandria via LeMat-Bulk, functional PBE.

Unit cell a=5.6036 b=7.6631 c=8.2400 alpha=90.00 beta=90.00 gamma=90.00
Space group Imma (No. 74)
One atom of each set of equivalent atoms:
Pa (0.0000, 0.2500, 0.0146) [4 per cell]
Ga (0.0000, 0.0000, 0.5000) [4 per cell]
Rh (0.0000, 0.2500, 0.7151) [4 per cell]
Rh (0.2500, 0.0623, 0.2500) [8 per cell]

Properties
As for the formation energy: -0.68 eV/atom. Its crystal system is orthorhombic.

---

6.
An optimized crystal structure of Pa3Ga3Rh2. Source: Alexandria via LeMat-Bulk, functional PBE.

Unit cell a=8.0890 b=14.9275 c=5.3693 alpha=90.00 beta=90.00 gamma=90.00
Space group Pnma (No. 62)
One atom of each set of equivalent atoms:
Pa (0.0369, 0.1134, 0.1175) [8 per cell]
Pa (0.1695, 0.2500, 0.6193) [4 per cell]
Ga (0.1788, 0.7500, 0.6274) [4 per cell]
Ga (0.1915, 0.0308, 0.6014) [8 per cell]
Rh (0.0872, 0.6143, 0.3538) [8 per cell]

Properties
As for the formation energy: -0.56 eV/atom. Its crystal system is orthorhombic.

---

7.
An optimized crystal structure of PaGa2Rh. Source: Alexandria via LeMat-Bulk, functional PBE.

Unit cell a=3.0924 b=3.0924 c=26.5521 alpha=90.00 beta=90.00 gamma=120.00
Space group R-3m (No. 166, hexagonal axes)
One atom of each set of equivalent atoms:
Pa (0.0000, 0.0000, 0.0000) [3 per cell]
Ga (0.0000, 0.0000, 0.2359) [6 per cell]
Rh (0.0000, 0.0000, 0.5000) [3 per cell]

Properties
As for the formation energy: -0.31 eV/atom. Its crystal system is trigonal.

---

8.
An optimized crystal structure of Pa3Ga5Rh. Source: Alexandria via LeMat-Bulk, functional PBE.

Unit cell a=8.5368 b=8.5368 c=5.7685 alpha=90.00 beta=90.00 gamma=120.00
Space group P6_3/mcm (No. 193)
One atom of each set of equivalent atoms:
Pa (0.0000, 0.3918, 0.2500) [6 per cell]
Ga (0.0000, 0.2552, 0.7500) [6 per cell]
Ga (0.3333, 0.6667, 0.0000) [4 per cell]
Rh (0.0000, 0.0000, 0.0000) [2 per cell]

Properties
As for the formation energy: -0.33 eV/atom. Its crystal system is hexagonal.

---

9.
An optimized crystal structure of ScPaGa4Rh2. Source: Alexandria via LeMat-Bulk, functional PBE.

Unit cell a=3.7463 b=3.7463 c=10.8996 alpha=90.00 beta=90.00 gamma=90.00
Space group P4/mmm (No. 123)
One atom of each set of equivalent atoms:
Sc (0.0000, 0.0000, 0.0000) [1 per cell]
Pa (0.0000, 0.0000, 0.5000) [1 per cell]
Ga (0.0000, 0.5000, 0.2046) [4 per cell]
Rh (0.5000, 0.5000, 0.3783) [2 per cell]

Properties
As for the formation energy: -0.48 eV/atom. Its crystal system is tetragonal.

---

10.
An optimized crystal structure of PaGaSi2Rh5. Source: Alexandria via LeMat-Bulk, functional PBE.

Unit cell a=4.0162 b=4.0162 c=9.9516 alpha=90.00 beta=90.00 gamma=90.00
Space group P4/mmm (No. 123)
One atom of each set of equivalent atoms:
Pa (0.0000, 0.0000, 0.0000) [1 per cell]
Ga (0.0000, 0.0000, 0.5000) [1 per cell]
Si (0.5000, 0.5000, 0.2328) [2 per cell]
Rh (0.0000, 0.5000, 0.3459) [4 per cell]
Rh (0.5000, 0.5000, 0.0000) [1 per cell]

Properties
Its crystal system is tetragonal. The value obtained for the formation energy without anion corrections is -529 meV/atom.

---

11.
An optimized crystal structure of Pa2Ga2Si4Rh. Source: Alexandria via LeMat-Bulk, functional PBE.

Unit cell a=6.0954 b=6.0954 c=8.4495 alpha=90.00 beta=90.00 gamma=90.00
Space group I4/mmm (No. 139)
One atom of each set of equivalent atoms:
Pa (0.0000, 0.5000, 0.2500) [4 per cell]
Ga (0.0000, 0.0000, 0.2092) [4 per cell]
Si (0.2198, 0.2198, 0.0000) [8 per cell]
Rh (0.0000, 0.0000, 0.5000) [2 per cell]

Properties
Its crystal system is tetragonal. The value obtained for the formation energy without anion corrections is -509 meV/atom.

---

12.
An optimized crystal structure of TmPaGaRh. Source: Alexandria via LeMat-Bulk, functional PBE.

Unit cell a=6.9813 b=6.9813 c=6.9813 alpha=90.00 beta=90.00 gamma=90.00
Space group F-43m (No. 216)
One atom of each set of equivalent atoms:
Tm (0.0000, 0.0000, 0.0000) [4 per cell]
Pa (0.0000, 0.0000, 0.5000) [4 per cell]
Ga (0.2500, 0.2500, 0.7500) [4 per cell]
Rh (0.2500, 0.2500, 0.2500) [4 per cell]

Properties
As for the formation energy: -0.45 eV/atom. Its crystal system is cubic.